# 1
{
  "formula": "Ag5IO4F2",
  "functional": "PBE",
  "state": "optimized geometry",
  "sg": "Amm2",
  "formation_energy_uncorrected_mev_per_atom": -407,
  "total_magnetization_mub_per_atom": 0.000,
  "density_g_cm3": 6.11,
  "lattice": [[6.083, 0.000, 0.000], [-3.041, 4.331, 0.000], [0.000, 0.000, 7.920]],
  "species": ["Ag", "Ag", "Ag", "Ag", "Ag", "I", "O", "O", "O", "O", "F", "F"],
  "frac_coords": [[0.055, 0.444, 0.266], [0.394, 0.000, 0.500], [0.055, 0.444, 0.734], [0.611, 0.556, 0.734], [0.611, 0.556, 0.266], [0.577, 0.000, 0.000], [0.601, 0.000, 0.253], [0.601, 0.000, 0.747], [0.546, 0.333, 0.000], [0.214, 0.667, 0.000], [0.887, 0.634, 0.500], [0.254, 0.366, 0.500]]
}


# 2
{
  "formula": "AgIOF2",
  "functional": "PBE",
  "state": "optimized geometry",
  "polymorph_energy_mev_per_atom": 170.6,
  "sg": "P4/mmm",
  "formation_energy_uncorrected_mev_per_atom": -216,
  "dos_ef_per_ev_fu": 4.5,
  "total_magnetization_mub_per_atom": 0.000,
  "density_g_cm3": 5.84,
  "lattice": [[4.129, 0.000, 0.000], [0.000, 4.129, 0.000], [0.000, 0.000, 4.818]],
  "species": ["I", "O", "Ag", "F", "F"],
  "frac_coords": [[0.500, 0.500, 0.500], [0.000, 0.000, 0.500], [0.000, 0.000, 0.000], [0.000, 0.500, 0.000], [0.500, 0.000, 0.000]]
}


# 3
{
  "formula": "AgI2OF",
  "functional": "PBE",
  "state": "optimized geometry",
  "polymorph_energy_mev_per_atom": 0.0,
  "sg": "P4/mmm",
  "formation_energy_uncorrected_mev_per_atom": 308,
  "dos_ef_per_ev_fu": 6.0,
  "total_magnetization_mub_per_atom": 0.553,
  "density_g_cm3": 5.09,
  "lattice": [[-2.666, 2.477, -4.387], [2.394, -3.744, -3.569], [-3.100, -2.456, 0.497]],
  "species": ["I", "I", "O", "Ag", "F"],
  "frac_coords": [[0.000, 0.500, 0.000], [0.500, 0.000, 0.000], [0.000, 0.000, 0.500], [0.000, 0.000, 0.000], [0.500, 0.500, 0.500]]
}


# 4
{
  "formula": "AgI2OF",
  "functional": "PBE",
  "state": "optimized geometry",
  "polymorph_energy_mev_per_atom": 278.8,
  "sg": "P4/mmm",
  "formation_energy_uncorrected_mev_per_atom": 587,
  "dos_ef_per_ev_fu": 6.7,
  "total_magnetization_mub_per_atom": 0.000,
  "density_g_cm3": 6.10,
  "lattice": [[-2.146, -1.401, 4.466], [-4.155, -1.691, -2.528], [1.704, -3.684, -0.337]],
  "species": ["I", "I", "O", "Ag", "F"],
  "frac_coords": [[0.000, 0.500, 0.000], [0.500, 0.000, 0.000], [0.000, 0.000, 0.500], [0.500, 0.500, 0.500], [0.000, 0.000, 0.000]]
}


# 5
{
  "formula": "Ag2PIF",
  "functional": "PBE",
  "state": "optimized geometry",
  "polymorph_energy_mev_per_atom": 0.0,
  "sg": "P4/mmm",
  "formation_energy_uncorrected_mev_per_atom": -299,
  "dos_ef_per_ev_fu": 3.7,
  "total_magnetization_mub_per_atom": 0.000,
  "density_g_cm3": 6.31,
  "lattice": [[-0.476, 1.591, 4.764], [0.383, -3.824, 1.315], [5.000, 0.603, 0.299]],
  "species": ["I", "P", "Ag", "Ag", "F"],
  "frac_coords": [[0.500, 0.500, 0.500], [0.000, 0.000, 0.000], [0.000, 0.000, 0.500], [0.500, 0.000, 0.000], [0.000, 0.500, 0.000]]
}


# 6
{
  "formula": "Ag2PIF",
  "functional": "PBE",
  "state": "optimized geometry",
  "polymorph_energy_mev_per_atom": 834.2,
  "sg": "P4/mmm",
  "formation_energy_uncorrected_mev_per_atom": 536,
  "dos_ef_per_ev_fu": 1.6,
  "total_magnetization_mub_per_atom": 0.385,
  "density_g_cm3": 4.82,
  "lattice": [[-4.827, 0.301, 2.529], [-1.810, -2.745, -3.129], [1.322, -4.336, 3.039]],
  "species": ["I", "P", "Ag", "Ag", "F"],
  "frac_coords": [[0.000, 0.000, 0.000], [0.500, 0.500, 0.500], [0.000, 0.000, 0.500], [0.500, 0.000, 0.000], [0.000, 0.500, 0.000]]
}